*A*
A plane-wave DFT calculation with PBE-GGA was carried out for an optimized crystal structure of La2SiF.

M_tot   0.00 μB per formula unit
Fermi-level density of states   6.22 states/eV per cell
Symmetry   No. 13

abc: 5.929 5.952 11.593
angles: 90.55 90.00 90.00
Element x y z (fractional)
La 0.754 0.475 0.129
La 0.246 0.525 0.871
Si 0.253 0.997 0.375
F 0.787 0.040 0.124
F 0.213 0.540 0.624
F 0.787 0.460 0.376
Si 0.253 0.503 0.125
La 0.231 0.003 0.121
La 0.231 0.497 0.379
La 0.246 0.975 0.629
Si 0.747 0.003 0.625
La 0.769 0.503 0.621
La 0.754 0.025 0.371
Si 0.747 0.497 0.875
F 0.213 0.960 0.876
La 0.769 0.997 0.879



*B*
A plane-wave DFT calculation with PBE-GGA was carried out for an optimized crystal structure of La2SiF.

M_tot   0.00 μB per formula unit
Fermi-level density of states   2.46 states/eV per cell
Symmetry   No. 160

abc: 4.086 4.086 7.478
angles: 74.15 74.15 60.00
Element x y z (fractional)
F 0.491 0.491 0.527
La 0.256 0.256 0.233
La 0.084 0.084 0.748
Si 0.669 0.669 0.992



Going by the computed energies, the most stable comes first: *A*, *B*.



*A*
A plane-wave DFT calculation with PBE-GGA was carried out for an optimized crystal structure of LaSiF.

M_tot   0.00 μB per formula unit
Fermi-level density of states   1.40 states/eV per cell
Symmetry   No. 63

abc: 4.109 3.968 7.435
angles: 90.00 106.04 90.00
Element x y z (fractional)
La 0.979 0.615 0.420
F 0.861 0.115 0.184
Si 0.660 0.615 0.783
Si 0.570 0.115 0.603
F 0.370 0.615 0.202
La 0.251 0.115 0.965



*B*
A plane-wave DFT calculation with PBE-GGA was carried out for an optimized crystal structure of LaSiF.

M_tot   0.00 μB per formula unit
Fermi-level density of states   0.53 states/eV per cell
Symmetry   No. 12

abc: 6.462 4.569 7.006
angles: 89.95 90.00 135.00
Element x y z (fractional)
La 0.750 0.500 0.337
F 0.749 0.499 0.986
Si 0.750 0.499 0.732
La 0.250 0.500 0.663
Si 0.250 0.501 0.268
F 0.251 0.501 0.014



Going by the computed energies, the most stable comes first: *A*, *B*.



*A*
A plane-wave DFT calculation with PBE-GGA was carried out for an optimized crystal structure of La2SnF2.

M_tot   0.00 μB per formula unit
Fermi-level density of states   2.62 states/eV per cell
Symmetry   No. 139

abc: 4.036 4.036 7.489
angles: 74.37 74.37 90.00
Element x y z (fractional)
Sn 0.000 0.000 0.000
F 0.750 0.250 0.500
F 0.250 0.750 0.500
La 0.365 0.365 0.269
La 0.635 0.635 0.731



*B*
A plane-wave DFT calculation with PBE-GGA was carried out for an optimized crystal structure of La2SnF2.

M_tot   0.00 μB per formula unit
Fermi-level density of states   2.42 states/eV per cell
Symmetry   No. 70

abc: 6.804 6.804 6.748
angles: 109.68 109.68 109.39
Element x y z (fractional)
La 0.465 0.535 0.500
F 0.880 0.880 0.759
La 0.035 0.965 0.500
Sn 0.750 0.250 0.500
La 0.215 0.785 0.000
F 0.120 0.120 0.241
F 0.370 0.870 0.741
Sn 0.500 0.500 0.000
La 0.785 0.215 0.000
F 0.130 0.630 0.259



Going by the computed energies, the most stable comes first: *A*, *B*.



*A*
A plane-wave DFT calculation with PBE-GGA was carried out for an optimized crystal structure of LaSnF2.

M_tot   0.63 μB per formula unit
Fermi-level density of states   2.32 states/eV per cell
Symmetry   No. 166

abc: 10.141 10.141 10.141
angles: 19.96 19.96 19.96
Element x y z (fractional)
Sn 0.000 0.000 0.000
F 0.120 0.120 0.120
F 0.880 0.880 0.880
La 0.500 0.500 0.500



*B*
A plane-wave DFT calculation with PBE-GGA was carried out for an optimized crystal structure of LaSnF2.

M_tot   0.72 μB per formula unit
Fermi-level density of states   4.60 states/eV per cell
Symmetry   No. 225

abc: 4.778 4.778 4.778
angles: 60.00 60.00 60.00
Element x y z (fractional)
Sn 0.000 0.000 0.000
F 0.250 0.250 0.250
F 0.750 0.750 0.750
La 0.500 0.500 0.500



*C*
A plane-wave DFT calculation with PBE-GGA was carried out for an optimized crystal structure of LaSnF2.

M_tot   0.56 μB per formula unit
Fermi-level density of states   2.16 states/eV per cell
Symmetry   No. 166

abc: 6.986 6.986 6.986
angles: 33.77 33.77 33.77
Element x y z (fractional)
La 0.000 0.000 0.000
F 0.305 0.305 0.305
F 0.695 0.695 0.695
Sn 0.500 0.500 0.500



*D*
A plane-wave DFT calculation with PBE-GGA was carried out for an optimized crystal structure of LaSnF2.

M_tot   0.82 μB per formula unit
Fermi-level density of states   5.43 states/eV per cell
Symmetry   No. 122

abc: 5.513 5.513 8.113
angles: 70.14 70.14 90.00
Element x y z (fractional)
F 0.375 0.186 0.750
Sn 0.250 0.750 0.500
La 0.750 0.250 0.500
La 0.000 0.000 0.000
F 0.814 0.125 0.250
F 0.936 0.625 0.250
Sn 0.500 0.500 0.000
F 0.875 0.064 0.750



Going by the computed energies, the most stable comes first: *C*, *D*, *A*, *B*.



*A*
A plane-wave DFT calculation with PBE-GGA was carried out for an optimized crystal structure of LaSnF3.

M_tot   0.29 μB per formula unit
Fermi-level density of states   3.42 states/eV per cell
Symmetry   No. 221

abc: 4.760 4.760 4.760
angles: 90.00 90.00 90.00
Element x y z (fractional)
F 0.500 0.000 0.000
F 0.000 0.000 0.500
F 0.000 0.500 0.000
La 0.000 0.000 0.000
Sn 0.500 0.500 0.500



*B*
A plane-wave DFT calculation with PBE-GGA was carried out for an optimized crystal structure of LaSnF3.

M_tot   1.61 μB per formula unit
Fermi-level density of states   3.36 states/eV per cell
Symmetry   No. 221

abc: 4.696 4.696 4.696
angles: 90.00 90.00 90.00
Element x y z (fractional)
F 0.500 0.000 0.000
F 0.000 0.000 0.500
F 0.000 0.500 0.000
Sn 0.000 0.000 0.000
La 0.500 0.500 0.500



Going by the computed energies, the most stable comes first: *A*, *B*.



*A*
A plane-wave DFT calculation with PBE-GGA was carried out for an optimized crystal structure of LaSn2F.

M_tot   0.00 μB per formula unit
Fermi-level density of states   1.77 states/eV per cell
Symmetry   No. 122

abc: 5.578 5.578 8.926
angles: 71.79 71.79 90.00
Element x y z (fractional)
Sn 0.875 0.718 0.750
La 0.000 0.000 0.000
Sn 0.282 0.625 0.250
Sn 0.375 0.532 0.750
F 0.500 0.500 0.000
Sn 0.468 0.125 0.250
F 0.250 0.750 0.500
La 0.750 0.250 0.500



*B*
A plane-wave DFT calculation with PBE-GGA was carried out for an optimized crystal structure of LaSn2F.

M_tot   0.00 μB per formula unit
Fermi-level density of states   0.80 states/eV per cell
Symmetry   No. 225

abc: 5.275 5.275 5.275
angles: 60.00 60.00 60.00
Element x y z (fractional)
Sn 0.750 0.750 0.750
La 0.500 0.500 0.500
Sn 0.250 0.250 0.250
F 0.000 0.000 0.000



Going by the computed energies, the most stable comes first: *A*, *B*.